Entry i
A relaxed structure of La2YBr. Source: Alexandria via LeMat-Bulk, functional GGA-PBE.

Properties
- SG: P4/mmm, No. 123
- DOS(E_F): 4.689 states/eV/cell

a b c (Å): 3.651 3.651 9.840
angles (deg): 90.00 90.00 90.00
Sites, in units of the cell vectors:
La 0.000 0.000 0.231
La 0.000 0.000 0.769
Y 0.500 0.500 0.500
Br 0.500 0.500 0.000


Entry ii
A relaxed structure of La2YBr. Source: Alexandria via LeMat-Bulk, functional GGA-PBE.

Properties
- SG: Pm, No. 6
- DOS(E_F): 5.050 states/eV/cell

a b c (Å): 3.713 6.082 6.082
angles (deg): 90.00 90.05 90.00
Sites, in units of the cell vectors:
La 0.000 0.000 0.000
La 0.116 0.500 0.501
Y 0.558 0.000 0.500
Br 0.058 0.500 0.001


entry i ends up most stable, edging out the next structure by 59 meV/atom.


Entry i
A relaxed structure of LaY2Br. Source: Alexandria via LeMat-Bulk, functional GGA-PBE.

Properties
- SG: P2/m, No. 10
- DOS(E_F): 5.205 states/eV/cell

a b c (Å): 3.845 5.426 6.338
angles (deg): 90.00 106.03 90.00
Sites, in units of the cell vectors:
La 0.000 0.000 0.000
Y 0.380 0.500 0.735
Y 0.620 0.500 0.265
Br 0.500 0.000 0.500


Entry ii
A relaxed structure of LaY2Br. Source: Alexandria via LeMat-Bulk, functional GGA-PBE.

Properties
- SG: Cmmm, No. 65
- DOS(E_F): 10.416 states/eV/cell

a b c (Å): 7.671 8.985 3.591
angles (deg): 90.00 90.00 90.00
Sites, in units of the cell vectors:
La 0.000 0.000 0.000
La 0.500 0.500 0.000
Y 0.250 0.250 0.500
Y 0.250 0.750 0.500
Y 0.750 0.250 0.500
Y 0.750 0.750 0.500
Br 0.000 0.500 0.000
Br 0.500 0.000 0.000


entry i ends up most stable, edging out the next structure by 107 meV/atom.


Entry i
A relaxed structure of LaYBr. Source: Alexandria via LeMat-Bulk, functional GGA-PBE.

Properties
- SG: P3m1, No. 156
- DOS(E_F): 3.398 states/eV/cell

a b c (Å): 3.782 3.782 7.650
angles (deg): 90.00 90.00 120.00
Sites, in units of the cell vectors:
La 0.000 0.000 0.000
Y 0.667 0.333 0.371
Br 0.333 0.667 0.659


Entry ii
A relaxed structure of LaYBr. Source: Alexandria via LeMat-Bulk, functional GGA-PBE.

Properties
- SG: F-43m, No. 216
- DOS(E_F): 16.519 states/eV/cell

a b c (Å): 7.196 7.196 7.196
angles (deg): 90.00 90.00 90.00
Sites, in units of the cell vectors:
La 0.000 0.000 0.000
La 0.000 0.500 0.500
La 0.500 0.000 0.500
La 0.500 0.500 0.000
Y 0.000 0.000 0.500
Y 0.000 0.500 0.000
Y 0.500 0.000 0.000
Y 0.500 0.500 0.500
Br 0.250 0.250 0.250
Br 0.250 0.750 0.750
Br 0.750 0.250 0.750
Br 0.750 0.750 0.250


entry i ends up most stable, edging out the next structure by 445 meV/atom.


Entry i
A relaxed structure of La3YBr. Source: Alexandria via LeMat-Bulk, functional GGA-PBE.

Properties
- SG: Pm-3m, No. 221
- DOS(E_F): 13.254 states/eV/cell

a b c (Å): 5.976 5.976 5.976
angles (deg): 90.00 90.00 90.00
Sites, in units of the cell vectors:
La 0.000 0.000 0.500
La 0.000 0.500 0.000
La 0.500 0.000 0.000
Y 0.000 0.000 0.000
Br 0.500 0.500 0.500


Entry ii
A relaxed structure of La3YBr. Source: Alexandria via LeMat-Bulk, functional GGA-PBE.

Properties
- SG: Pm-3m, No. 221
- DOS(E_F): 4.683 states/eV/cell

a b c (Å): 5.728 5.728 5.728
angles (deg): 90.00 90.00 90.00
Sites, in units of the cell vectors:
La 0.000 0.000 0.500
La 0.000 0.500 0.000
La 0.500 0.000 0.000
Y 0.500 0.500 0.500
Br 0.000 0.000 0.000


entry ii ends up most stable, edging out the next structure by 736 meV/atom.


Entry i
A relaxed structure of LaZn2Br. Source: Alexandria via LeMat-Bulk, functional GGA-PBE.

Properties
- SG: I-42d, No. 122
- DOS(E_F): 14.635 states/eV/cell

a b c (Å): 8.644 8.644 5.865
angles (deg): 90.00 90.00 90.00
Sites, in units of the cell vectors:
La 0.000 0.000 0.000
La 0.000 0.500 0.250
La 0.500 0.000 0.750
La 0.500 0.500 0.500
Zn 0.245 0.250 0.625
Zn 0.250 0.745 0.875
Zn 0.250 0.755 0.375
Zn 0.255 0.250 0.125
Zn 0.745 0.750 0.125
Zn 0.750 0.245 0.375
Zn 0.750 0.255 0.875
Zn 0.755 0.750 0.625
Br 0.000 0.000 0.500
Br 0.000 0.500 0.750
Br 0.500 0.000 0.250
Br 0.500 0.500 0.000


Entry ii
A relaxed structure of LaZn2Br. Source: Alexandria via LeMat-Bulk, functional GGA-PBE.

Properties
- SG: F-43m, No. 216
- DOS(E_F): 14.481 states/eV/cell

a b c (Å): 7.221 7.221 7.221
angles (deg): 90.00 90.00 90.00
Sites, in units of the cell vectors:
La 0.000 0.000 0.000
La 0.000 0.500 0.500
La 0.500 0.000 0.500
La 0.500 0.500 0.000
Zn 0.000 0.000 0.500
Zn 0.000 0.500 0.000
Zn 0.250 0.250 0.750
Zn 0.250 0.750 0.250
Zn 0.500 0.000 0.000
Zn 0.500 0.500 0.500
Zn 0.750 0.250 0.250
Zn 0.750 0.750 0.750
Br 0.250 0.250 0.250
Br 0.250 0.750 0.750
Br 0.750 0.250 0.750
Br 0.750 0.750 0.250


Entry iii
A relaxed structure of LaZn2Br. Source: Alexandria via LeMat-Bulk, functional GGA-PBE.

Properties
- SG: Cm, No. 8
- DOS(E_F): 1.864 states/eV/cell

a b c (Å): 7.831 4.115 7.386
angles (deg): 90.00 90.78 90.00
Sites, in units of the cell vectors:
La 0.000 0.000 0.000
La 0.500 0.500 0.000
Zn 0.127 0.500 0.725
Zn 0.310 0.000 0.721
Zn 0.627 0.000 0.725
Zn 0.810 0.500 0.721
Br 0.318 0.000 0.254
Br 0.818 0.500 0.254


Entry iv
A relaxed structure of LaZn2Br. Source: Alexandria via LeMat-Bulk, functional GGA-PBE.

Properties
- SG: Fm-3m, No. 225
- DOS(E_F): 19.146 states/eV/cell

a b c (Å): 7.404 7.404 7.404
angles (deg): 90.00 90.00 90.00
Sites, in units of the cell vectors:
La 0.000 0.000 0.000
La 0.000 0.500 0.500
La 0.500 0.000 0.500
La 0.500 0.500 0.000
Zn 0.250 0.250 0.250
Zn 0.250 0.250 0.750
Zn 0.250 0.750 0.250
Zn 0.250 0.750 0.750
Zn 0.750 0.250 0.250
Zn 0.750 0.250 0.750
Zn 0.750 0.750 0.250
Zn 0.750 0.750 0.750
Br 0.000 0.000 0.500
Br 0.000 0.500 0.000
Br 0.500 0.000 0.000
Br 0.500 0.500 0.500


entry iii ends up most stable, edging out the next structure by 173 meV/atom.


Entry i
A relaxed structure of La2ZnBr. Source: Alexandria via LeMat-Bulk, functional GGA-PBE.

Properties
- SG: I-42d, No. 122
- DOS(E_F): 24.132 states/eV/cell

a b c (Å): 6.309 6.309 15.530
angles (deg): 90.00 90.00 90.00
Sites, in units of the cell vectors:
La 0.241 0.250 0.125
La 0.250 0.741 0.375
La 0.250 0.759 0.875
La 0.259 0.250 0.625
La 0.741 0.750 0.625
La 0.750 0.241 0.875
La 0.750 0.259 0.375
La 0.759 0.750 0.125
Zn 0.000 0.000 0.000
Zn 0.000 0.500 0.250
Zn 0.500 0.000 0.750
Zn 0.500 0.500 0.500
Br 0.000 0.000 0.500
Br 0.000 0.500 0.750
Br 0.500 0.000 0.250
Br 0.500 0.500 0.000


Entry ii
A relaxed structure of La2ZnBr. Source: Alexandria via LeMat-Bulk, functional GGA-PBE.

Properties
- SG: P2/m, No. 10
- DOS(E_F): 2.744 states/eV/cell

a b c (Å): 3.746 3.751 8.703
angles (deg): 90.00 90.18 90.00
Sites, in units of the cell vectors:
La 0.002 0.000 0.210
La 0.998 0.000 0.790
Zn 0.500 0.500 0.000
Br 0.000 0.500 0.500


Entry iii
A relaxed structure of La2ZnBr. Source: Alexandria via LeMat-Bulk, functional GGA-PBE.

Properties
- SG: Imm2, No. 44
- DOS(E_F): 7.218 states/eV/cell

a b c (Å): 3.877 3.953 15.846
angles (deg): 90.00 90.00 90.00
Sites, in units of the cell vectors:
La 0.000 0.000 0.000
La 0.000 0.500 0.261
La 0.500 0.000 0.761
La 0.500 0.500 0.500
Zn 0.000 0.500 0.849
Zn 0.500 0.000 0.349
Br 0.000 0.000 0.599
Br 0.500 0.500 0.099


entry ii ends up most stable, edging out the next structure by 95 meV/atom.


Entry i
A relaxed structure of La2ZnBr. Source: Alexandria via LeMat-Bulk, functional GGA-PBE.

Properties
- SG: P6_3/mmc, No. 194
- DOS(E_F): 11.609 states/eV/cell

a b c (Å): 4.127 4.127 16.519
angles (deg): 90.00 90.00 120.00
Sites, in units of the cell vectors:
La 0.333 0.667 0.117
La 0.333 0.667 0.383
La 0.667 0.333 0.617
La 0.667 0.333 0.883
Zn 0.000 0.000 0.000
Zn 0.000 0.000 0.500
Br 0.333 0.667 0.750
Br 0.667 0.333 0.250


Entry ii
A relaxed structure of La2ZnBr. Source: Alexandria via LeMat-Bulk, functional GGA-PBE.

Properties
- SG: F-43m, No. 216
- DOS(E_F): 24.258 states/eV/cell

a b c (Å): 7.586 7.586 7.586
angles (deg): 90.00 90.00 90.00
Sites, in units of the cell vectors:
La 0.000 0.000 0.000
La 0.000 0.500 0.500
La 0.250 0.250 0.250
La 0.250 0.750 0.750
La 0.500 0.000 0.500
La 0.500 0.500 0.000
La 0.750 0.250 0.750
La 0.750 0.750 0.250
Zn 0.250 0.250 0.750
Zn 0.250 0.750 0.250
Zn 0.750 0.250 0.250
Zn 0.750 0.750 0.750
Br 0.000 0.000 0.500
Br 0.000 0.500 0.000
Br 0.500 0.000 0.000
Br 0.500 0.500 0.500


Entry iii
A relaxed structure of La2ZnBr. Source: Alexandria via LeMat-Bulk, functional GGA-PBE.

Properties
- SG: Fm-3m, No. 225
- DOS(E_F): 24.043 states/eV/cell

a b c (Å): 7.619 7.619 7.619
angles (deg): 90.00 90.00 90.00
Sites, in units of the cell vectors:
La 0.250 0.250 0.250
La 0.250 0.250 0.750
La 0.250 0.750 0.250
La 0.250 0.750 0.750
La 0.750 0.250 0.250
La 0.750 0.250 0.750
La 0.750 0.750 0.250
La 0.750 0.750 0.750
Zn 0.000 0.000 0.000
Zn 0.000 0.500 0.500
Zn 0.500 0.000 0.500
Zn 0.500 0.500 0.000
Br 0.000 0.000 0.500
Br 0.000 0.500 0.000
Br 0.500 0.000 0.000
Br 0.500 0.500 0.500


Entry iv
A relaxed structure of La2ZnBr. Source: Alexandria via LeMat-Bulk, functional GGA-PBE.

Properties
- SG: Amm2, No. 38
- DOS(E_F): 6.580 states/eV/cell

a b c (Å): 5.123 3.695 11.893
angles (deg): 90.00 90.00 90.00
Sites, in units of the cell vectors:
La 0.000 0.000 0.000
La 0.000 0.500 0.500
La 0.500 0.000 0.252
La 0.500 0.500 0.752
Zn 0.000 0.000 0.743
Zn 0.000 0.500 0.243
Br 0.500 0.000 0.511
Br 0.500 0.500 0.011


entry i ends up most stable, edging out the next structure by 19 meV/atom.


Entry i
A relaxed structure of La2ZnBr. Source: Alexandria via LeMat-Bulk, functional GGA-PBE.

Properties
- SG: R3m, No. 160
- DOS(E_F): 15.866 states/eV/cell

a b c (Å): 3.924 3.924 26.732
angles (deg): 90.00 90.00 120.00
Sites, in units of the cell vectors:
La 0.000 0.000 0.000
La 0.000 0.000 0.175
La 0.333 0.667 0.667
La 0.333 0.667 0.842
La 0.667 0.333 0.333
La 0.667 0.333 0.508
Zn 0.000 0.000 0.588
Zn 0.333 0.667 0.254
Zn 0.667 0.333 0.921
Br 0.000 0.000 0.421
Br 0.333 0.667 0.087
Br 0.667 0.333 0.754


Entry ii
A relaxed structure of La2ZnBr. Source: Alexandria via LeMat-Bulk, functional GGA-PBE.

Properties
- SG: C2/m, No. 12
- DOS(E_F): 9.154 states/eV/cell

a b c (Å): 7.912 7.907 3.486
angles (deg): 90.00 92.62 90.00
Sites, in units of the cell vectors:
La 0.250 0.250 0.000
La 0.250 0.750 0.000
La 0.750 0.250 0.000
La 0.750 0.750 0.000
Zn 0.000 0.000 0.500
Zn 0.500 0.500 0.500
Br 0.000 0.500 0.500
Br 0.500 0.000 0.500


Entry iii
A relaxed structure of La2ZnBr. Source: Alexandria via LeMat-Bulk, functional GGA-PBE.

Properties
- SG: P2/m, No. 10
- DOS(E_F): 3.143 states/eV/cell

a b c (Å): 4.699 4.017 6.222
angles (deg): 90.00 90.06 90.00
Sites, in units of the cell vectors:
La 0.000 0.000 0.000
La 0.500 0.500 0.500
Zn 0.000 0.000 0.500
Br 0.500 0.500 0.000


Entry iv
A relaxed structure of La2ZnBr. Source: Alexandria via LeMat-Bulk, functional GGA-PBE.

Properties
- SG: C2/m, No. 12
- DOS(E_F): 8.797 states/eV/cell

a b c (Å): 7.552 4.353 7.760
angles (deg): 90.00 108.81 90.00
Sites, in units of the cell vectors:
La 0.248 0.000 0.244
La 0.252 0.500 0.756
La 0.748 0.500 0.244
La 0.752 0.000 0.756
Zn 0.000 0.500 0.000
Zn 0.500 0.000 0.000
Br 0.000 0.000 0.500
Br 0.500 0.500 0.500


entry iii ends up most stable, edging out the next structure by 54 meV/atom.